No. 1
A plane-wave DFT calculation with meta-GGA SCAN was carried out for a crystal of Te2AsN relaxed with PBEsol.

a b c (Å): 3.1692 3.1692 9.2840
angles (deg): 80.17 80.17 60.00
Fractional coordinates of all 4 atoms:
As (0.0000, 0.0000, 0.0000)
Te (0.8939, 0.8939, 0.3183)
Te (0.1061, 0.1061, 0.6817)
N (0.5000, 0.5000, 0.5000)



No. 2
A plane-wave DFT calculation with meta-GGA SCAN was carried out for a crystal of YTeAsN2 relaxed with PBEsol.

a b c (Å): 4.3339 4.3339 6.2343
angles (deg): 90.00 90.00 90.00
Last column: magnetic moment on the atom in μB.
Fractional coordinates of all 5 atoms:
Y (0.0000, 0.0000, 0.0000)  0.15
As (0.5000, 0.5000, 0.5000)  0.38
Te (0.0000, 0.0000, 0.5000)  0.05
N (0.0000, 0.5000, 0.0000)  1.18
N (0.5000, 0.0000, 0.0000)  1.18



No. 3
A plane-wave DFT calculation with meta-GGA SCAN was carried out for a crystal of TiAsN2 relaxed with PBEsol.

a b c (Å): 4.8836 4.8836 5.6668
angles (deg): 115.52 115.52 90.00
Fractional coordinates of all 8 atoms:
As (0.2500, 0.7500, 0.5000)
As (0.0000, 0.0000, 0.0000)
N (0.4160, 0.8750, 0.2500)
N (0.8340, 0.3750, 0.2500)
N (0.1250, 0.1660, 0.7500)
N (0.6250, 0.5840, 0.7500)
Ti (0.7500, 0.2500, 0.5000)
Ti (0.5000, 0.5000, 0.0000)



No. 4
A plane-wave DFT calculation with meta-GGA SCAN was carried out for a crystal of Ti2AsN relaxed with PBEsol.

a b c (Å): 5.1752 5.1752 6.0768
angles (deg): 115.20 115.20 90.00
Fractional coordinates of all 8 atoms:
As (0.2500, 0.7500, 0.5000)
As (0.0000, 0.0000, 0.0000)
N (0.7500, 0.2500, 0.5000)
N (0.5000, 0.5000, 0.0000)
Ti (0.4606, 0.8750, 0.2500)
Ti (0.7894, 0.3750, 0.2500)
Ti (0.1250, 0.2106, 0.7500)
Ti (0.6250, 0.5394, 0.7500)



No. 5
A plane-wave DFT calculation with meta-GGA SCAN was carried out for a crystal of ZrTiAs2N relaxed with PBEsol.

a b c (Å): 3.7779 4.5644 4.5644
angles (deg): 90.00 90.00 90.00
Fractional coordinates of all 5 atoms:
As (0.0000, 0.0000, 0.5000)
As (0.0000, 0.5000, 0.0000)
N (0.0000, 0.0000, 0.0000)
Zr (0.5000, 0.5000, 0.5000)
Ti (0.5000, 0.0000, 0.0000)



No. 6
A plane-wave DFT calculation with meta-GGA SCAN was carried out for a crystal of TlAsN2 relaxed with PBEsol.

a b c (Å): 2.9832 2.9832 7.1740
angles (deg): 78.00 78.00 60.00
Fractional coordinates of all 4 atoms:
Tl (0.0000, 0.0000, 0.0000)
As (0.5000, 0.5000, 0.5000)
N (0.8814, 0.8814, 0.3559)
N (0.1186, 0.1186, 0.6441)



Calculated density, 7.2, 4.5, 4.7, 4.7, 6.4, 9.5 g cm⁻³ (same order as the records).
Calculated uncorrected formation energy, 383, 371, -101, -400, -182, 247 kJ/mol of formula units (same order as the records).
Calculated VASP energy, -100.02, -100.02, -111.71, -131.37, -98.29, -108.57 eV/cell (same order as the records).